# 1
Density functional theory data (PBE) for crystalline Y2Ge5Pd3 at its relaxed geometry.

Output
**Energy relative to the elements**: -0.670 eV per atom
**Total magnetization**: 0.00 μB/cell
**Energy above the most stable polymorph in this dataset**: 23 meV/atom
**DFT total energy**: -58.3 eV per formula unit

CIF file:
```
data_Y2Ge5Pd3
_space_group_name_H-M_alt 'P 1'
_space_group_IT_number 1
_space_group_name_Hall 'P 1'
_cell_length_a 4.375
_cell_length_b 6.996
_cell_length_c 12.416
_cell_angle_alpha 90.00
_cell_angle_beta 100.15
_cell_angle_gamma 90.00
loop_
_atom_site_label
_atom_site_type_symbol
_atom_site_fract_x
_atom_site_fract_y
_atom_site_fract_z
Ge1 Ge 0.289 0.518 0.578
Y1 Y 0.174 0.743 0.349
Y2 Y 0.480 0.743 0.960
Pd1 Pd 0.055 0.959 0.110
Y3 Y 0.520 0.243 0.040
Pd2 Pd 0.222 0.213 0.444
Ge2 Ge 0.602 0.895 0.204
Ge3 Ge 0.705 0.430 0.410
Ge4 Ge 0.711 0.018 0.422
Y4 Y 0.826 0.243 0.651
Ge5 Ge 0.118 0.269 0.235
Ge6 Ge 0.882 0.769 0.765
Pd3 Pd 0.945 0.459 0.890
Pd4 Pd 0.606 0.523 0.211
Ge7 Ge 0.048 0.572 0.095
Pd5 Pd 0.778 0.713 0.556
Ge8 Ge 0.398 0.395 0.796
Ge9 Ge 0.952 0.072 0.905
Pd6 Pd 0.394 0.023 0.789
Ge10 Ge 0.295 0.930 0.590
```

# 2
Density functional theory data (PBE) for crystalline BeHg2Sb at its relaxed geometry.

Output
**Total magnetization**: 0.00 μB/cell
**Energy above the most stable polymorph in this dataset**: 222 meV/atom
**DFT total energy**: -6.9 eV per formula unit

CIF file:
```
data_BeHg2Sb
_space_group_name_H-M_alt 'P 1'
_space_group_IT_number 1
_space_group_name_Hall 'P 1'
_cell_length_a 5.356
_cell_length_b 5.356
_cell_length_c 5.356
_cell_angle_alpha 136.21
_cell_angle_beta 114.60
_cell_angle_gamma 82.06
loop_
_atom_site_label
_atom_site_type_symbol
_atom_site_fract_x
_atom_site_fract_y
_atom_site_fract_z
Sb1 Sb 0.440 0.440 0.000
Hg1 Hg 0.045 0.045 0.000
Be1 Be 0.257 0.757 0.500
Hg2 Hg 0.759 0.259 0.500
```